Below is crystalline Cs2AlBi2 at its relaxed geometry, with properties calculated at the PBE level.

Calculated values
The energy of formation comes out at -11 kJ per mole of atoms. For the relative energy among the computed polymorphs, the calculation gives 0.132 eV per atom. For the total magnetization, the calculation gives 0.00 μB per formula unit. The value obtained for the uncorrected energy is -2.7522 eV per atom.

a = 4.6618 Å, b = 4.6618 Å, c = 24.3330 Å
α = 95.50°, β = 95.50°, γ = 90.00°
Fractional positions:
Cs 0.9266 0.4266 0.8533
Cs 0.6766 0.6766 0.3533
Cs 0.3234 0.3234 0.6467
Cs 0.5734 0.0734 0.1467
Al 0.5000 0.5000 0.0000
Al 0.7500 0.2500 0.5000
Bi 0.7834 0.7834 0.5669
Bi 0.0334 0.5334 0.0669
Bi 0.4666 0.9666 0.9331
Bi 0.2166 0.2166 0.4331

Below is crystalline Cs2Al2Bi at its relaxed geometry, with properties calculated at the PBE level.

Calculated values
The energy of formation comes out at 10 kJ per mole of atoms. For the total magnetization, the calculation gives 0.00 μB per formula unit. The value obtained for the uncorrected energy is -2.5131 eV per atom.

a = 3.8350 Å, b = 3.8350 Å, c = 13.3139 Å
α = 81.72°, β = 81.72°, γ = 90.00°
Fractional positions:
Cs 0.3900 0.3900 0.2200
Cs 0.6100 0.6100 0.7800
Bi 0.0000 0.0000 0.0000
Al 0.7500 0.2500 0.5000
Al 0.2500 0.7500 0.5000

Below is crystalline Cs4AlBi3 at its relaxed geometry, with properties calculated at the PBE level.

Calculated values
The energy of formation comes out at -28 kJ per mole of atoms. For the total magnetization, the calculation gives 0.00 μB per formula unit. The value obtained for the uncorrected energy is -2.6445 eV per atom.

a = 6.5423 Å, b = 11.1660 Å, c = 11.1660 Å
α = 85.08°, β = 72.97°, γ = 72.97°
Fractional positions:
Cs 0.4120 0.3168 0.8592
Cs 0.5880 0.6832 0.1408
Cs 0.7288 0.8592 0.6832
Cs 0.0880 0.1408 0.6832
Cs 0.2712 0.1408 0.3168
Cs 0.9120 0.8592 0.3168
Cs 0.7712 0.3168 0.1408
Cs 0.2288 0.6832 0.8592
Al 0.7500 0.5000 0.5000
Al 0.2500 0.5000 0.5000
Bi 0.7500 0.0000 0.0000
Bi 0.2500 0.0000 0.0000
Bi 0.3887 0.7226 0.5000
Bi 0.6113 0.2774 0.5000
Bi 0.1113 0.5000 0.2774
Bi 0.8887 0.5000 0.7226

Below is crystalline CsHfAlBi2 at its relaxed geometry, with properties calculated at the PBE level.

Calculated values
The energy of formation comes out at 99 kJ per mole of atoms. For the total magnetization, the calculation gives 1.11 μB per formula unit. The value obtained for the uncorrected energy is -3.4333 eV per atom.

a = 5.5580 Å, b = 5.8479 Å, c = 5.5580 Å
α = 90.00°, β = 90.00°, γ = 90.00°
Fractional positions:
Cs 0.0000 0.5000 0.0000
Hf 0.5000 0.5000 0.5000
Bi 0.0000 0.0000 0.5000
Bi 0.5000 0.0000 0.0000
Al 0.0000 0.0000 0.0000